Below is a relaxed Nd2HoCu crystal, with properties calculated at the PBE-GGA level.

Results
**Formation enthalpy at 0 K**: 0.0717 eV/atom

abc: 10.216 10.216 10.216
angles: 20.80 20.80 20.80
Positions (direct):
Nd: 0.000 0.000 0.000
Nd: 0.194 0.194 0.194
Ho: 0.430 0.430 0.430
Cu: 0.597 0.597 0.597

---

Below is a relaxed NdHoCu crystal, with properties calculated at the PBE-GGA level.

Results
**Formation enthalpy at 0 K**: -0.1044 eV/atom

abc: 4.763 4.763 7.012
angles: 90.00 90.00 90.00
Positions (direct):
Nd: 0.250 0.250 0.113
Nd: 0.750 0.750 0.887
Ho: 0.250 0.750 0.500
Ho: 0.750 0.250 0.500
Cu: 0.250 0.250 0.719
Cu: 0.750 0.750 0.281

---

Below is a relaxed NdHo5Cu6 crystal, with properties calculated at the PBE-GGA level.

Results
**Formation enthalpy at 0 K**: -0.2443 eV/atom

abc: 7.811 7.811 6.897
angles: 90.00 90.00 143.23
Positions (direct):
Nd: 0.000 0.000 0.000
Ho: 0.000 0.000 0.500
Ho: 0.332 0.668 0.000
Ho: 0.334 0.666 0.500
Ho: 0.666 0.334 0.500
Ho: 0.668 0.332 0.000
Cu: 0.170 0.830 0.254
Cu: 0.170 0.830 0.746
Cu: 0.500 0.500 0.263
Cu: 0.500 0.500 0.737
Cu: 0.830 0.170 0.254
Cu: 0.830 0.170 0.746

---

Below is a relaxed Nd2HoCu2 crystal, with properties calculated at the PBE-GGA level.

Results
**Formation enthalpy at 0 K**: -0.1068 eV/atom

abc: 6.394 6.394 10.468
angles: 118.88 118.88 42.77
Positions (direct):
Nd: 0.036 0.036 0.191
Nd: 0.180 0.180 0.590
Nd: 0.820 0.820 0.410
Nd: 0.964 0.964 0.809
Ho: 0.303 0.303 0.145
Ho: 0.697 0.697 0.855
Cu: 0.375 0.375 0.932
Cu: 0.455 0.455 0.589
Cu: 0.545 0.545 0.411
Cu: 0.625 0.625 0.068

---

Below is a relaxed Nd2HoCu crystal, with properties calculated at the PBE-GGA level.

Results
**Formation enthalpy at 0 K**: 0.2712 eV/atom

abc: 11.269 11.269 11.269
angles: 18.01 18.01 18.01
Positions (direct):
Nd: 0.102 0.102 0.102
Nd: 0.898 0.898 0.898
Ho: 0.000 0.000 0.000
Cu: 0.500 0.500 0.500

---

Below is a relaxed NdHoCuNi crystal, with properties calculated at the PBE-GGA level.

Results
**Formation enthalpy at 0 K**: -0.2565 eV/atom

abc: 4.915 4.915 4.915
angles: 60.00 60.00 60.00
Positions (direct):
Nd: 0.000 0.000 0.000
Ho: 0.500 0.500 0.500
Cu: 0.250 0.250 0.250
Ni: 0.750 0.750 0.750

---

Below is a relaxed NdHoCuNi crystal, with properties calculated at the PBE-GGA level.

Results
**Formation enthalpy at 0 K**: -0.2980 eV/atom

abc: 4.433 5.517 5.517
angles: 40.06 90.00 90.00
Positions (direct):
Nd: 0.000 0.000 0.000
Ho: 0.500 0.721 0.721
Cu: 0.500 0.427 0.427
Ni: 0.000 0.286 0.286

---

Below is a relaxed NdHoCuOs crystal, with properties calculated at the PBE-GGA level.

Results
**Formation enthalpy at 0 K**: -0.1585 eV/atom

abc: 4.924 4.924 4.924
angles: 60.00 60.00 60.00
Positions (direct):
Nd: 0.000 0.000 0.000
Ho: 0.500 0.500 0.500
Cu: 0.250 0.250 0.250
Os: 0.750 0.750 0.750

---

Below is a relaxed PmNdHoCu crystal, with properties calculated at the PBE-GGA level.

Results
**Formation enthalpy at 0 K**: -0.0867 eV/atom

abc: 3.564 3.564 8.741
angles: 90.00 90.00 90.00
Positions (direct):
Pm: 0.000 0.000 0.000
Nd: 0.500 0.500 0.310
Ho: 0.000 0.000 0.612
Cu: 0.500 0.500 0.789

---

Below is a relaxed NdHoCuPt crystal, with properties calculated at the PBE-GGA level.

Results
**Formation enthalpy at 0 K**: -0.6948 eV/atom

abc: 5.003 5.003 5.003
angles: 60.00 60.00 60.00
Positions (direct):
Nd: 0.000 0.000 0.000
Ho: 0.500 0.500 0.500
Cu: 0.250 0.250 0.250
Pt: 0.750 0.750 0.750

---

Below is a relaxed NdHoCuPt crystal, with properties calculated at the PBE-GGA level.

Results
**Formation enthalpy at 0 K**: -0.7423 eV/atom

abc: 4.437 5.727 5.727
angles: 39.19 90.00 90.00
Positions (direct):
Nd: 0.000 0.000 0.000
Ho: 0.500 0.723 0.723
Cu: 0.500 0.434 0.434
Pt: 0.000 0.280 0.280

---

Below is a relaxed Nd2HoCuS5 crystal, with properties calculated at the PBE-GGA level.

Results
**Electronic total energy**: -109.28 eV per cell

abc: 8.662 8.662 11.645
angles: 90.00 90.00 153.87
Positions (direct):
Nd: 0.109 0.891 0.500
Nd: 0.122 0.878 0.124
Nd: 0.878 0.122 0.624
Nd: 0.891 0.109 0.000
Ho: 0.195 0.805 0.824
Ho: 0.805 0.195 0.324
Cu: 0.442 0.558 0.268
Cu: 0.558 0.442 0.768
S: 0.043 0.957 0.873
S: 0.289 0.711 0.486
S: 0.314 0.686 0.163
S: 0.357 0.643 0.816
S: 0.499 0.501 0.593
S: 0.501 0.499 0.093
S: 0.643 0.357 0.316
S: 0.686 0.314 0.663
S: 0.711 0.289 0.986
S: 0.957 0.043 0.373

---

Below is a relaxed NdHoCu2S4 crystal, with properties calculated at the PBE-GGA level.

Results
**Electronic total energy**: -43.69 eV per cell

abc: 6.023 6.023 6.023
angles: 114.63 112.64 101.44
Positions (direct):
Nd: 0.000 0.000 0.000
Ho: 0.500 0.500 0.000
Cu: 0.331 0.831 0.500
Cu: 0.669 0.169 0.500
S: 0.081 0.058 0.531
S: 0.474 0.942 0.024
S: 0.526 0.550 0.469
S: 0.919 0.450 0.976

---

Below is a relaxed NdHoCu2Se4 crystal, with properties calculated at the PBE-GGA level.

Results
**Electronic total energy**: -39.89 eV per cell

abc: 6.317 6.317 6.317
angles: 114.75 112.91 101.07
Positions (direct):
Nd: 0.000 0.000 0.000
Ho: 0.500 0.500 0.000
Cu: 0.344 0.844 0.500
Cu: 0.656 0.156 0.500
Se: 0.082 0.063 0.528
Se: 0.465 0.937 0.019
Se: 0.535 0.554 0.472
Se: 0.918 0.446 0.981

---

Below is a relaxed NdHo2CuSe5 crystal, with properties calculated at the PBE-GGA level.

Results
**Electronic total energy**: -97.86 eV per cell

abc: 9.783 9.783 11.581
angles: 90.00 90.00 156.63
Positions (direct):
Nd: 0.193 0.807 0.500
Nd: 0.807 0.193 0.000
Ho: 0.090 0.910 0.173
Ho: 0.110 0.890 0.799
Ho: 0.890 0.110 0.299
Ho: 0.910 0.090 0.673
Cu: 0.431 0.569 0.941
Cu: 0.569 0.431 0.441
Se: 0.046 0.954 0.553
Se: 0.303 0.697 0.187
Se: 0.329 0.671 0.815
Se: 0.359 0.641 0.495
Se: 0.496 0.504 0.272
Se: 0.504 0.496 0.772
Se: 0.641 0.359 0.995
Se: 0.671 0.329 0.315
Se: 0.697 0.303 0.687
Se: 0.954 0.046 0.053

---

Below is a relaxed NdHoCu2Si2 crystal, with properties calculated at the PBE-GGA level.

Results
**Electronic total energy**: -32.28 eV per cell

abc: 4.187 4.187 7.624
angles: 90.00 90.00 120.00
Positions (direct):
Nd: 0.000 0.000 0.000
Ho: 0.000 0.000 0.500
Cu: 0.333 0.667 0.731
Cu: 0.667 0.333 0.269
Si: 0.333 0.667 0.262
Si: 0.667 0.333 0.738

---

Below is a relaxed NdSmHoCu crystal, with properties calculated at the PBE-GGA level.

Results
**Formation enthalpy at 0 K**: -0.0899 eV/atom

abc: 3.556 3.556 8.724
angles: 90.00 90.00 90.00
Positions (direct):
Nd: 0.000 0.000 0.000
Sm: 0.500 0.500 0.691
Ho: 0.500 0.500 0.304
Cu: 0.000 0.000 0.485

---

Below is a relaxed NdHoCuSn crystal, with properties calculated at the PBE-GGA level.

Results
**Formation enthalpy at 0 K**: -0.4141 eV/atom

abc: 5.224 5.224 5.224
angles: 60.00 60.00 60.00
Positions (direct):
Nd: 0.000 0.000 0.000
Ho: 0.500 0.500 0.500
Cu: 0.250 0.250 0.250
Sn: 0.750 0.750 0.750

---

Below is a relaxed TbNdHoCu crystal, with properties calculated at the PBE-GGA level.

Results
**Formation enthalpy at 0 K**: -0.1020 eV/atom

abc: 3.528 3.528 8.705
angles: 90.00 90.00 90.00
Positions (direct):
Tb: 0.000 0.000 0.000
Nd: 0.500 0.500 0.309
Ho: 0.000 0.000 0.616
Cu: 0.500 0.500 0.802

---

Below is a relaxed Nd2HoCuTe5 crystal, with properties calculated at the PBE-GGA level.

Results
**Electronic total energy**: -89.47 eV per cell

abc: 9.762 9.762 13.017
angles: 90.00 90.00 154.49
Positions (direct):
Nd: 0.109 0.891 0.500
Nd: 0.124 0.876 0.120
Nd: 0.876 0.124 0.620
Nd: 0.891 0.109 0.000
Ho: 0.191 0.809 0.823
Ho: 0.809 0.191 0.323
Cu: 0.428 0.572 0.273
Cu: 0.572 0.428 0.773
Te: 0.042 0.958 0.878
Te: 0.286 0.714 0.486
Te: 0.312 0.688 0.157
Te: 0.354 0.646 0.813
Te: 0.500 0.500 0.101
Te: 0.500 0.500 0.601
Te: 0.646 0.354 0.313
Te: 0.688 0.312 0.657
Te: 0.714 0.286 0.986
Te: 0.958 0.042 0.378

---

Below is a relaxed NdHoTlCu crystal, with properties calculated at the PBE-GGA level.

Results
**Formation enthalpy at 0 K**: -0.2198 eV/atom

abc: 5.257 5.257 5.257
angles: 60.00 60.00 60.00
Positions (direct):
Nd: 0.000 0.000 0.000
Ho: 0.500 0.500 0.500
Tl: 0.750 0.750 0.750
Cu: 0.250 0.250 0.250

---

Below is a relaxed NdHoZnCu crystal, with properties calculated at the PBE-GGA level.

Results
**Formation enthalpy at 0 K**: -0.2488 eV/atom

abc: 5.055 5.055 5.055
angles: 60.00 60.00 60.00
Positions (direct):
Nd: 0.000 0.000 0.000
Ho: 0.500 0.500 0.500
Zn: 0.750 0.750 0.750
Cu: 0.250 0.250 0.250

---

Below is a relaxed NdHoZnCu crystal, with properties calculated at the PBE-GGA level.

Results
**Formation enthalpy at 0 K**: -0.2605 eV/atom

abc: 3.557 3.557 7.194
angles: 90.00 90.00 90.00
Positions (direct):
Nd: 0.000 0.000 0.000
Ho: 0.000 0.000 0.487
Zn: 0.500 0.500 0.728
Cu: 0.500 0.500 0.271

---

Below is a relaxed Ho12Cu6Ni crystal, with properties calculated at the PBE-GGA level.

Results
**Formation enthalpy at 0 K**: -0.0077 eV/atom

abc: 8.027 8.027 8.027
angles: 98.28 98.28 98.28
Positions (direct):
Ho: 0.032 0.918 0.681
Ho: 0.082 0.319 0.968
Ho: 0.189 0.566 0.416
Ho: 0.319 0.968 0.082
Ho: 0.416 0.189 0.566
Ho: 0.434 0.584 0.811
Ho: 0.566 0.416 0.189
Ho: 0.584 0.811 0.434
Ho: 0.681 0.032 0.918
Ho: 0.811 0.434 0.584
Ho: 0.918 0.681 0.032
Ho: 0.968 0.082 0.319
Cu: 0.127 0.312 0.630
Cu: 0.312 0.630 0.127
Cu: 0.370 0.873 0.688
Cu: 0.630 0.127 0.312
Cu: 0.688 0.370 0.873
Cu: 0.873 0.688 0.370
Ni: 0.000 0.000 0.000

---

Below is a relaxed Ho2CuNi3 crystal, with properties calculated at the PBE-GGA level.

Results
**Formation enthalpy at 0 K**: -0.3952 eV/atom

abc: 5.046 5.046 5.046
angles: 61.33 61.33 61.33
Positions (direct):
Ho: 0.125 0.125 0.125
Ho: 0.875 0.875 0.875
Cu: 0.500 0.500 0.500
Ni: 0.000 0.500 0.500
Ni: 0.500 0.000 0.500
Ni: 0.500 0.500 0.000